# 1
Pm2NdEr8 (PBE-GGA, optimized geometry); energy relative to the lowest polymorph listed for this composition = 0 meV/atom
1.0
-2.739 4.033 8.019
2.739 -4.033 8.019
2.739 4.033 -8.019
Pm Nd Er
2 1 8
Direct
0.200 0.200 0.000
0.800 0.800 0.000
0.500 0.500 0.000
0.068 0.361 0.708
0.206 0.000 0.206
0.339 0.839 0.500
0.347 0.639 0.708
0.653 0.361 0.292
0.661 0.161 0.500
0.794 0.000 0.794
0.932 0.639 0.292

# 2
Density functional theory data (PBE-GGA) for a relaxed Li2MgZn crystal.

The structure in POSCAR format:
```
Li2MgZn
1.0
2.890 0.000 0.000
0.000 4.533 0.000
-1.021 0.000 5.407
Li Mg Zn
2 1 1
Direct
0.000 0.000 0.000
0.220 0.500 0.769
0.721 0.500 0.284
0.396 0.000 0.527
```

| no. | formation energy from the elements (eV per formula unit) | density of states at the Fermi level (states/eV per cell) |
| --- | --- | --- |
| 1 | 1.25 | 14.25 |
| 2 | -0.37 | 0.81 |